Entry from Alexandria via LeMat-Bulk: a relaxed Ho4SnGeC crystal (GGA-PBE).

abc: 6.6752 15.5092 6.6756
angles: 90.00 90.00 90.00
Space group Cmcm (No. 63)
Unique sites:
1 Ho 0.0000 0.0832 0.2500
2 Ho 0.0000 0.4094 0.2500
3 Ho 0.2500 0.2500 0.0000
4 Sn 0.0000 0.3917 0.7500
5 Ge 0.0000 0.1143 0.7500
6 C 0.0000 0.2481 0.2500

Calculated values
D(E_F)   2.46 states/eV per cell
DFT total energy   -162.84 eV per cell
Formation energy   -4.6 eV/f.u.
Size of the total moment   0.00 μB/f.u.

Entry from Alexandria via LeMat-Bulk: a relaxed RbS crystal (GGA-PBE).

abc: 9.2957 9.2957 9.2957
angles: 90.00 90.00 90.00
Space group Pm-3n (No. 223)
Unique sites:
1 Rb 0.0000 0.2500 0.5000
2 S 0.0000 0.5000 0.2500

Calculated values
D(E_F)   41.26 states/eV per cell
DFT total energy   -32.92 eV per cell
Size of the total moment   1.00 μB/f.u.
Formation energy from raw total energies   -196 meV per atom

Entry from Alexandria via LeMat-Bulk: a relaxed KScW2 crystal (GGA-PBE).

abc: 3.1533 3.1533 32.3747
angles: 90.00 90.00 120.00
Space group R3m (No. 160, hexagonal axes)
Unique sites:
1 K 0.0000 0.0000 0.0000
2 Sc 0.0000 0.0000 0.2235
3 W 0.0000 0.0000 0.4865
4 W 0.0000 0.0000 0.7634

Calculated values
D(E_F)   11.29 states/eV per cell
DFT total energy   -90.71 eV per cell
Formation energy   3.1 eV/f.u.
Size of the total moment   0.00 μB/f.u.
ΔE to the lowest computed polymorph   0.1514 eV/atom

Entry from Alexandria via LeMat-Bulk: a relaxed LuSb3 crystal (GGA-PBE).

abc: 3.8221 9.6655 6.0065
angles: 90.00 90.00 90.00
Space group Imm2 (No. 44)
Unique sites:
1 Lu 0.0000 0.0000 0.0000
2 Sb 0.0000 0.2893 0.2516
3 Sb 0.0000 0.5000 0.9159

Calculated values
D(E_F)   3.97 states/eV per cell
DFT total energy   -36.56 eV per cell
Size of the total moment   0.00 μB/f.u.
Formation energy from raw total energies   -347 meV per atom
ΔE to the lowest computed polymorph   0.0850 eV/atom

Which of these has the highest DFT total energy?
RbS

What did the second record say?
Entry from Alexandria via LeMat-Bulk: a relaxed RbS crystal (GGA-PBE).

abc: 9.2957 9.2957 9.2957
angles: 90.00 90.00 90.00
Space group Pm-3n (No. 223)
Unique sites:
1 Rb 0.0000 0.2500 0.5000
2 S 0.0000 0.5000 0.2500

Calculated values
D(E_F)   41.26 states/eV per cell
DFT total energy   -32.92 eV per cell
Size of the total moment   1.00 μB/f.u.
Formation energy from raw total energies   -196 meV per atom